{"formula": "NaScGa2Ag", "functional": "GGA-PBE", "state": "relaxed", "e_form_ev_per_atom": 0.835, "density_g_cm3": 4.3, "sg": "No. 123", "energy_ev_per_atom": -2.476, "lattice": [[4.922, 0.000, 0.000], [0.000, 4.922, 0.000], [0.000, 0.000, 5.061]], "species": ["Na", "Sc", "Ga", "Ga", "Ag"], "fractional_positions": [[0.000, 0.000, 0.000], [0.000, 0.000, 0.500], [0.000, 0.500, 0.000], [0.500, 0.000, 0.000], [0.500, 0.500, 0.500]]}



{"formula": "NaScGaAg", "functional": "GGA-PBE", "state": "relaxed", "e_form_ev_per_atom": -0.133, "density_g_cm3": 5.1, "sg": "No. 216", "energy_ev_per_atom": -3.515, "lattice": [[0.000, 3.430, 3.430], [3.430, 0.000, 3.430], [3.430, 3.430, 0.000]], "species": ["Na", "Sc", "Ga", "Ag"], "fractional_positions": [[0.000, 0.000, 0.000], [0.500, 0.500, 0.500], [0.250, 0.250, 0.250], [0.750, 0.750, 0.750]]}



{"formula": "NaGa2AgSe4", "functional": "GGA-PBE", "state": "relaxed", "density_g_cm3": 4.6, "raw_formation_energy_ev_per_fu": -2.50, "sg": "No. 121", "energy_ev_per_atom": -3.333, "lattice": [[-3.471, 3.471, 4.353], [3.471, -3.471, 4.353], [3.471, 3.471, -4.353]], "species": ["Na", "Ga", "Ga", "Ag", "Se", "Se", "Se", "Se"], "fractional_positions": [[0.000, 0.000, 0.000], [0.250, 0.750, 0.500], [0.750, 0.250, 0.500], [0.500, 0.500, 0.000], [0.097, 0.097, 0.612], [0.486, 0.486, 0.388], [0.514, 0.903, 0.000], [0.903, 0.514, 0.000]]}



{"formula": "NaSmGaAg", "functional": "GGA-PBE", "state": "relaxed", "e_form_ev_per_atom": -0.201, "density_g_cm3": 6.3, "sg": "No. 216", "energy_ev_per_atom": -3.181, "lattice": [[0.000, 3.598, 3.598], [3.598, 0.000, 3.598], [3.598, 3.598, 0.000]], "species": ["Na", "Sm", "Ga", "Ag"], "fractional_positions": [[0.000, 0.000, 0.000], [0.500, 0.500, 0.500], [0.250, 0.250, 0.250], [0.750, 0.750, 0.750]]}



{"formula": "NaGaAgSn", "functional": "GGA-PBE", "state": "relaxed", "e_form_ev_per_atom": -0.032, "e_above_lowest_polymorph_kcal_per_mol_atoms": 0.98, "density_g_cm3": 6.1, "sg": "No. 216", "energy_ev_per_atom": -2.832, "lattice": [[0.000, 3.522, 3.522], [3.522, 0.000, 3.522], [3.522, 3.522, 0.000]], "species": ["Na", "Ga", "Ag", "Sn"], "fractional_positions": [[0.000, 0.000, 0.000], [0.250, 0.250, 0.250], [0.750, 0.750, 0.750], [0.500, 0.500, 0.500]]}



{"formula": "NaGaAgSn", "functional": "GGA-PBE", "state": "relaxed", "e_form_ev_per_atom": -0.075, "e_above_lowest_polymorph_kcal_per_mol_atoms": 0.00, "density_g_cm3": 5.5, "sg": "No. 8", "energy_ev_per_atom": -2.875, "lattice": [[3.953, -2.280, 0.000], [3.953, 2.280, 0.000], [-2.560, 0.000, 5.368]], "species": ["Na", "Ga", "Ag", "Sn"], "fractional_positions": [[0.000, 0.000, 0.000], [0.437, 0.437, 0.308], [0.804, 0.804, 0.414], [0.209, 0.209, 0.635]]}



{"formula": "NaSr2Ga3Ag12", "functional": "GGA-PBE", "state": "relaxed", "e_form_ev_per_atom": 0.194, "density_g_cm3": 6.3, "sg": "No. 166", "energy_ev_per_atom": -2.472, "lattice": [[4.460, 2.575, 6.538], [-4.460, 2.575, 6.538], [0.000, -5.150, 6.538]], "species": ["Na", "Sr", "Sr", "Ga", "Ga", "Ga", "Ag", "Ag", "Ag", "Ag", "Ag", "Ag", "Ag", "Ag", "Ag", "Ag", "Ag", "Ag"], "fractional_positions": [[0.000, 0.000, 0.000], [0.395, 0.395, 0.395], [0.605, 0.605, 0.605], [0.000, 0.000, 0.500], [0.000, 0.500, 0.000], [0.500, 0.000, 0.000], [0.108, 0.648, 0.648], [0.140, 0.140, 0.615], [0.140, 0.615, 0.140], [0.352, 0.352, 0.892], [0.352, 0.892, 0.352], [0.385, 0.860, 0.860], [0.615, 0.140, 0.140], [0.648, 0.108, 0.648], [0.648, 0.648, 0.108], [0.860, 0.385, 0.860], [0.860, 0.860, 0.385], [0.892, 0.352, 0.352]]}



{"formula": "NaTbGaAg", "functional": "GGA-PBE", "state": "relaxed", "e_form_ev_per_atom": -0.193, "density_g_cm3": 6.6, "sg": "No. 216", "energy_ev_per_atom": -3.150, "lattice": [[0.000, 3.559, 3.559], [3.559, 0.000, 3.559], [3.559, 3.559, 0.000]], "species": ["Na", "Tb", "Ga", "Ag"], "fractional_positions": [[0.000, 0.000, 0.000], [0.500, 0.500, 0.500], [0.250, 0.250, 0.250], [0.750, 0.750, 0.750]]}



{"formula": "NaGaAgTe3", "functional": "GGA-PBE", "state": "relaxed", "density_g_cm3": 5.0, "raw_formation_energy_ev_per_fu": -1.80, "sg": "No. 11", "energy_ev_per_atom": -3.070, "lattice": [[8.630, 0.000, 0.000], [0.000, 4.088, 0.000], [-2.610, 0.000, 10.958]], "species": ["Na", "Na", "Ga", "Ga", "Ag", "Ag", "Te", "Te", "Te", "Te", "Te", "Te"], "fractional_positions": [[0.187, 0.250, 0.157], [0.813, 0.750, 0.843], [0.087, 0.250, 0.621], [0.913, 0.750, 0.379], [0.361, 0.750, 0.916], [0.639, 0.250, 0.084], [0.105, 0.250, 0.854], [0.217, 0.750, 0.523], [0.468, 0.750, 0.182], [0.532, 0.250, 0.818], [0.783, 0.250, 0.477], [0.895, 0.750, 0.146]]}



{"formula": "NaGa6AgTe10", "functional": "GGA-PBE", "state": "relaxed", "density_g_cm3": 5.3, "raw_formation_energy_ev_per_fu": -6.76, "sg": "No. 5", "energy_ev_per_atom": -3.361, "lattice": [[7.360, -7.389, 0.000], [7.360, 7.389, 0.000], [-0.188, 0.000, 10.538]], "species": ["Na", "Na", "Ga", "Ga", "Ga", "Ga", "Ga", "Ga", "Ga", "Ga", "Ga", "Ga", "Ga", "Ga", "Ag", "Ag", "Te", "Te", "Te", "Te", "Te", "Te", "Te", "Te", "Te", "Te", "Te", "Te", "Te", "Te", "Te", "Te", "Te", "Te", "Te", "Te"], "fractional_positions": [[0.000, 0.000, 0.000], [0.760, 0.240, 0.500], [0.001, 0.911, 0.341], [0.089, 0.999, 0.659], [0.095, 0.625, 0.578], [0.134, 0.319, 0.841], [0.375, 0.905, 0.422], [0.415, 0.169, 0.118], [0.420, 0.081, 0.751], [0.508, 0.405, 0.836], [0.595, 0.492, 0.164], [0.681, 0.866, 0.159], [0.831, 0.585, 0.882], [0.919, 0.580, 0.249], [0.264, 0.435, 0.327], [0.565, 0.736, 0.673], [0.015, 0.431, 0.429], [0.086, 0.575, 0.830], [0.089, 0.746, 0.176], [0.178, 0.254, 0.082], [0.184, 0.074, 0.432], [0.254, 0.911, 0.824], [0.326, 0.311, 0.675], [0.336, 0.664, 0.500], [0.425, 0.914, 0.170], [0.427, 0.573, 0.000], [0.503, 0.312, 0.314], [0.569, 0.985, 0.571], [0.585, 0.174, 0.930], [0.688, 0.497, 0.686], [0.689, 0.674, 0.325], [0.746, 0.822, 0.918], [0.822, 0.061, 0.249], [0.826, 0.415, 0.070], [0.926, 0.816, 0.568], [0.939, 0.178, 0.751]]}



{"formula": "NaTmGaAg", "functional": "GGA-PBE", "state": "relaxed", "e_form_ev_per_atom": -0.172, "density_g_cm3": 7.0, "sg": "No. 216", "energy_ev_per_atom": -3.089, "lattice": [[0.000, 3.522, 3.522], [3.522, 0.000, 3.522], [3.522, 3.522, 0.000]], "species": ["Na", "Tm", "Ga", "Ag"], "fractional_positions": [[0.000, 0.000, 0.000], [0.500, 0.500, 0.500], [0.750, 0.750, 0.750], [0.250, 0.250, 0.250]]}



{"formula": "NaYGaAg", "functional": "GGA-PBE", "state": "relaxed", "e_form_ev_per_atom": -0.200, "density_g_cm3": 5.3, "sg": "No. 216", "energy_ev_per_atom": -3.615, "lattice": [[0.000, 3.555, 3.555], [3.555, 0.000, 3.555], [3.555, 3.555, 0.000]], "species": ["Na", "Y", "Ga", "Ag"], "fractional_positions": [[0.000, 0.000, 0.000], [0.500, 0.500, 0.500], [0.750, 0.750, 0.750], [0.250, 0.250, 0.250]]}